PBE with a Hubbard U Cr2SeO, relaxed; density = 4.43 Mg/m³; symmetry = No. 122; calculated volume = 149 Å³/cell; energy above the most stable polymorph in this dataset = 0.0 meV/atom; VASP energy = -0.24639 Ha/atom
1.0
5.131 0.000 0.000
0.000 5.131 0.000
2.565 2.565 5.666
Cr O Se
4 2 2
Direct
0.514 0.125 0.250
0.236 0.625 0.250
0.375 0.486 0.750
0.875 0.764 0.750
0.500 0.500 0.000
0.250 0.750 0.500
0.000 0.000 0.000
0.750 0.250 0.500